The following is a DFT calculation (PBE) of a geometry-optimized BaReOs2 structure.

POSCAR file:
```
BaReOs2
1.0
10.336 0.009 0.005
9.927 2.880 0.005
9.927 1.415 2.508
Re Os Ba
1 2 1
Direct
0.250 0.250 0.250
0.985 0.985 0.985
0.515 0.515 0.515
0.750 0.750 0.750
```

ΔE_f: 3.87 eV/f.u.
calculated volume: 74.3 Å³ per cell
ΔE to the lowest computed polymorph: 0.90 eV per formula unit
E: -8.239 eV per atom


The following is a DFT calculation (PBE) of a geometry-optimized Ba2ReOs structure.

POSCAR file:
```
Ba2ReOs
1.0
-2.880 0.703 -4.252
-4.075 -2.115 2.406
2.482 4.014 2.145
Ba Os Re
2 1 1
Direct
0.250 0.750 0.500
0.000 0.000 0.000
0.500 0.500 0.000
0.750 0.250 0.500
```

ΔE_f: 6.14 eV/f.u.
calculated volume: 98.4 Å³ per cell
ΔE to the lowest computed polymorph: 5.05 eV per formula unit
E: -5.345 eV per atom